Density functional theory data (GGA-PBE) for a relaxed structure of CaEr2Be.

Unit cell a=3.4735 b=3.4735 c=8.9990 alpha=90.00 beta=90.00 gamma=90.00
Sites, in units of the cell vectors:
1 Er 0.0000 0.0000 0.1758
2 Er 0.0000 0.0000 0.8242
3 Be 0.5000 0.5000 0.0000
4 Ca 0.5000 0.5000 0.5000

Calculated values
Calculated total energy = -14.4 eV/f.u.
Space-group type = P4/mmm
Magnetic moment = 0.00 μB/f.u.
DFT formation energy = 41 kJ/mol of formula units